*1*
Below is TbYHoTm after structural relaxation, with properties calculated at the GGA-PBE level.

Lattice parameters (Å, degrees): 5.002 5.001 6.124 114.10 114.11 90.00
Positions (direct):
Tb  0.120  0.120  0.239
Y  0.370  0.870  0.740
Ho  0.870  0.370  0.739
Tm  0.620  0.620  0.240

The value obtained for the total magnetization is 0.0 μB/cell. Its crystal system is tetragonal. The calculation puts the density of states at the Fermi level at 1.477 states/eV/atom.

*2*
Below is TbYHoTm after structural relaxation, with properties calculated at the GGA-PBE level.

Lattice parameters (Å, degrees): 5.648 5.648 5.648 60.00 60.00 60.00
Positions (direct):
Y  0.500  0.500  0.500
Tm  0.250  0.250  0.250
Tb  0.000  0.000  0.000
Ho  0.750  0.750  0.750

The value obtained for the total magnetization is 0.0 μB/cell. Its crystal system is cubic. The calculation puts the density of states at the Fermi level at 2.507 states/eV/atom.

*1* takes first place; second place is 113 meV/atom up.